Here is a relaxed structure of Pu2CdGe3Pt4 from the Alexandria database. Energies are from GGA-PBE.

The structure in CIF format:
```
data_Pu2CdGe3Pt4
_chemical_formula_sum 'Pu2 Cd1 Ge3 Pt4'
_space_group_name_H-M_alt 'P -4 m 2'
_space_group_IT_number 115
_cell_length_a 4.172
_cell_length_b 4.172
_cell_length_c 11.299
_cell_angle_alpha 90.00
_cell_angle_beta 90.00
_cell_angle_gamma 90.00
loop_
_space_group_symop_operation_xyz
'x,y,z'
'y,-x,-z'
'-x,-y,z'
'-y,x,-z'
'-x,y,z'
'-y,-x,-z'
'x,-y,z'
'y,x,-z'
loop_
_atom_site_label
_atom_site_fract_x
_atom_site_fract_y
_atom_site_fract_z
Pu1 0.000 0.500 0.245
Cd1 0.000 0.000 0.500
Ge1 0.000 0.500 0.872
Ge2 0.500 0.500 0.500
Pt1 0.000 0.000 0.000
Pt2 0.000 0.500 0.656
Pt3 0.500 0.500 0.000
```

- calculated density (g cm⁻³) = 13.5
- DFT formation energy (eV/atom) = -0.615
- spin magnetization (Bohr magnetons per cell) = 11.1